The following is a PBE with a Hubbard U calculation of an optimized crystal structure of CrCl2O2, from the Alexandria database.

- SG: P2_1 (4)
- Total DFT energy (no corrections): -4.98 eV/atom

Cell lengths 6.916, 5.332, 7.671 Å; angles 90.00, 105.30, 90.00 degrees
Fractional positions:
1 Cr 0.166 0.000 0.273
2 Cr 0.834 0.500 0.727
3 Cl 0.279 0.883 0.546
4 Cl 0.352 0.875 0.111
5 Cl 0.648 0.375 0.889
6 Cl 0.721 0.383 0.454
7 O 0.054 0.391 0.804
8 O 0.156 0.298 0.268
9 O 0.844 0.798 0.732
10 O 0.946 0.891 0.196